# 1
This record from Alexandria describes a relaxed Sm4Hf crystal. The functional is PBE.

Crystal system: cubic

Cell: 5.692 5.692 5.692 Å, 90.00 90.00 90.00°
Atoms (fractional coordinates):
Sm (0.500, 0.000, 0.500)
Sm (0.000, 0.000, 0.000)
Hf (0.500, 0.500, 0.500)
Sm (0.500, 0.500, 0.000)
Sm (0.000, 0.500, 0.500)

# 2
This record from Alexandria describes a relaxed SmHf2 crystal. The functional is PBE.

Crystal system: cubic

Cell: 6.098 6.098 6.098 Å, 60.00 60.00 60.00°
Last column: magnetic moment on the atom in μB.
Atoms (fractional coordinates):
Sm (0.250, 0.250, 0.250)  0.37
Hf (0.625, 0.625, 0.125)  0.59
Hf (0.125, 0.625, 0.625)  0.59
Sm (0.000, 0.000, 0.000)  0.37
Hf (0.625, 0.125, 0.625)  0.59
Hf (0.625, 0.625, 0.625)  0.59

# 3
This record from Alexandria describes a relaxed SmHfSn crystal. The functional is PBE.

Crystal system: tetragonal

Cell: 4.378 4.378 8.929 Å, 104.19 104.19 90.00°
Last column: magnetic moment on the atom in μB.
Atoms (fractional coordinates):
Sm (0.326, 0.326, 0.651)  0.18
Hf (0.500, 0.000, 0.000)  0.22
Sm (0.674, 0.674, 0.349)  0.18
Sn (0.128, 0.128, 0.256)  0.00
Hf (0.000, 0.500, 0.000)  0.22
Sn (0.872, 0.872, 0.744)  0.00

# 4
This record from Alexandria describes a relaxed SmHfSn crystal. The functional is PBE.

Crystal system: tetragonal

Cell: 3.876 3.876 10.803 Å, 90.00 90.00 90.00°
Atoms (fractional coordinates):
Sm (0.500, 0.000, 0.758)
Hf (0.000, 0.500, 0.941)
Sm (0.000, 0.500, 0.242)
Hf (0.500, 0.000, 0.059)
Sn (0.000, 0.500, 0.564)
Sn (0.500, 0.000, 0.436)

# 5
This record from Alexandria describes a relaxed SmHfSn2 crystal. The functional is PBE.

Crystal system: trigonal

Cell: 4.770 4.770 6.038 Å, 66.73 66.73 60.00°
Atoms (fractional coordinates):
Hf (0.500, 0.500, 0.500)
Sm (0.000, 0.000, 0.000)
Sn (0.237, 0.237, 0.289)
Sn (0.763, 0.763, 0.711)

# 6
This record from Alexandria describes a relaxed SmHfSn2 crystal. The functional is PBE.

Crystal system: tetragonal

Cell: 3.891 3.891 6.641 Å, 90.00 90.00 90.00°
Atoms (fractional coordinates):
Sm (0.500, 0.500, 0.500)
Sn (0.000, 0.000, 0.778)
Hf (0.500, 0.500, 0.000)
Sn (0.000, 0.000, 0.222)

# 7
This record from Alexandria describes a relaxed SmHfTa crystal. The functional is PBE.

Crystal system: orthorhombic

Cell: 5.724 5.599 6.109 Å, 76.15 62.06 59.26°
Atoms (fractional coordinates):
Hf (0.330, 0.000, 0.341)
Hf (0.670, 0.000, 0.659)
Sm (0.163, 0.675, 0.000)
Sm (0.837, 0.325, 0.000)
Ta (0.750, 0.500, 0.500)
Ta (0.250, 0.500, 0.500)

# 8
This record from Alexandria describes a relaxed Tb2SmHf crystal. The functional is PBE.

Crystal system: trigonal

Cell: 3.359 3.359 12.226 Å, 82.10 82.10 60.00°
Atoms (fractional coordinates):
Hf (0.000, 0.000, 0.000)
Tb (0.085, 0.085, 0.744)
Tb (0.915, 0.915, 0.256)
Sm (0.500, 0.500, 0.500)

Electronic total energy, respectively: -25.9 -47.1 -40.3 -37.8 -24.3 -24.2 -50.8 -22.4 eV/cell.
Energy of formation from the pure elements, respectively: 590 355 -487 -79 -400 -385 376 377 meV per atom.